# ScAgSO | OQMD | GGA-PBE | relaxed
data_ScAgSO
_symmetry_space_group_name_H-M 'P c c a'
_symmetry_Int_Tables_number 54
_cell_length_a 5.1555
_cell_length_b 9.1165
_cell_length_c 5.3418
_cell_angle_alpha 90.00
_cell_angle_beta 90.00
_cell_angle_gamma 90.00
loop_
_symmetry_equiv_pos_as_xyz
'x,y,z'
'-x,-y,-z'
'-x+1/2,-y,z'
'x+1/2,y,-z'
'x+1/2,-y,-z+1/2'
'-x+1/2,y,z+1/2'
'-x,y,-z+1/2'
'x,-y,z+1/2'
loop_
_atom_site_label
_atom_site_fract_x
_atom_site_fract_y
_atom_site_fract_z
Sc1 0.0000 0.1109 0.2500
Ag1 0.2500 0.5000 0.1260
S1 0.0000 0.2759 0.7500
O1 0.2500 0.0000 0.0015
# ΔE to the lowest computed polymorph   2.91 kJ per mole of atoms
# Calculated total energy   -101.4 eV per cell
# Calculated volume   15.69 A^3/atom

---

# ErAgP2Se6 | OQMD | GGA-PBE | relaxed
data_ErAgP2Se6
_symmetry_space_group_name_H-M 'P -3 1 c'
_symmetry_Int_Tables_number 163
_symmetry_space_group_name_Hall '-P 3 2c'
_cell_length_a 6.6482
_cell_length_b 6.6482
_cell_length_c 14.3221
_cell_angle_alpha 90.00
_cell_angle_beta 90.00
_cell_angle_gamma 120.00
loop_
_atom_site_label
_atom_site_fract_x
_atom_site_fract_y
_atom_site_fract_z
Er1 0.0000 0.0000 0.2500
Ag1 0.3333 0.6667 0.2500
P1 0.3333 0.6667 0.6705
Se1 0.0215 0.3432 0.6240
# Calculated total energy   -89.3 eV per cell
# Calculated volume   27.41 A^3/atom